Entry 1:
{"formula": "PmPuMn2O6", "functional": "PBE+U", "state": "relaxed", "lattice_angstrom": [[5.645, 0.000, 0.000], [2.823, 4.889, 0.000], [2.822, 1.630, 5.026]], "species": ["O", "O", "O", "O", "O", "O", "Mn", "Mn", "Pu", "Pm"], "frac_coords": [[0.137, 0.386, 0.762], [0.714, 0.138, 0.762], [0.230, 0.917, 0.247], [0.917, 0.607, 0.247], [0.386, 0.714, 0.762], [0.607, 0.230, 0.247], [0.529, 0.529, 0.413], [0.018, 0.018, 0.946], [0.318, 0.318, 0.046], [0.806, 0.806, 0.583]], "sg": "R3, No. 146", "crystal_system": "trigonal", "energy_ry_per_atom": -0.6503}



Entry 2:
{"formula": "Rb2Pm2MnO6", "functional": "PBE+U", "state": "relaxed", "lattice_angstrom": [[-4.930, -3.059, -0.944], [2.584, -0.255, 5.274], [-2.938, 6.184, 0.762]], "species": ["O", "O", "O", "O", "O", "O", "Rb", "Rb", "Pm", "Pm", "Mn"], "frac_coords": [[0.234, 0.234, 0.336], [0.339, 0.045, 0.661], [0.045, 0.339, 0.661], [0.766, 0.766, 0.664], [0.955, 0.661, 0.339], [0.661, 0.955, 0.339], [0.838, 0.162, 0.000], [0.162, 0.838, 0.000], [0.665, 0.335, 0.500], [0.335, 0.665, 0.500], [0.000, 0.000, 0.500]], "sg": "C2/m, No. 12", "crystal_system": "monoclinic", "energy_ry_per_atom": -0.4884}



Entry 3:
{"formula": "Rb3Pm2MnO6", "functional": "PBE+U", "state": "relaxed", "lattice_angstrom": [[6.018, 0.147, -0.050], [-2.880, 5.286, -0.050], [-1.102, -1.908, 6.595]], "species": ["Pm", "Pm", "O", "O", "O", "O", "O", "O", "Rb", "Rb", "Rb", "Mn"], "frac_coords": [[0.664, 0.336, 0.000], [0.336, 0.664, 0.000], [0.287, 0.287, 0.793], [0.713, 0.713, 0.207], [0.061, 0.351, 0.159], [0.939, 0.649, 0.841], [0.649, 0.939, 0.841], [0.351, 0.061, 0.159], [0.835, 0.165, 0.500], [0.500, 0.500, 0.500], [0.165, 0.835, 0.500], [0.000, 0.000, 0.000]], "sg": "C2/m, No. 12", "crystal_system": "monoclinic", "energy_ry_per_atom": -0.4624}